[1]
A geometry-optimized CdPbF2 structure, computed with GGA-PBE.

## Properties
**Magnetization**: 0.0 μB/cell
**Raw total energy**: -54.3 eV/cell
**ρ**: 6.4 g/cm³
**Formation energy from raw total energies**: -1.301 eV/atom

CIF file:
```
data_CdPbF2
_cell_length_a 5.8903
_cell_length_b 5.8903
_cell_length_c 10.7262
_cell_angle_alpha 90.00
_cell_angle_beta 90.00
_cell_angle_gamma 90.00
_symmetry_space_group_name_H-M 'I -4 2 d'
_symmetry_Int_Tables_number 122
_symmetry_space_group_name_Hall 'I -4 2bw'
loop_
_atom_site_label
_atom_site_type_symbol
_atom_site_fract_x
_atom_site_fract_y
_atom_site_fract_z
_atom_site_occupancy
Cd1 Cd 0.0000 0.0000 0.0000 1
Pb1 Pb 0.0000 0.0000 0.5000 1
F1 F 0.2057 0.2500 0.1250 1
```


[2]
A geometry-optimized CaInAg2 structure, computed with GGA-PBE.

## Properties
**Magnetization**: 0.0 μB/cell
**Energy relative to the elements**: -262 meV per atom
**Raw total energy**: -46.0 eV/cell
**ρ**: 6.4 g/cm³

CIF file:
```
data_CaInAg2
_cell_length_a 7.9398
_cell_length_b 7.6879
_cell_length_c 6.2720
_cell_angle_alpha 90.00
_cell_angle_beta 90.00
_cell_angle_gamma 90.00
_symmetry_space_group_name_H-M 'P n m a'
_symmetry_Int_Tables_number 62
loop_
_symmetry_equiv_pos_as_xyz
'x,y,z'
'-x,-y,-z'
'-x+1/2,-y,z+1/2'
'x+1/2,y,-z+1/2'
'x+1/2,-y+1/2,-z+1/2'
'-x+1/2,y+1/2,z+1/2'
'-x,y+1/2,-z'
'x,-y+1/2,z'
loop_
_atom_site_label
_atom_site_type_symbol
_atom_site_fract_x
_atom_site_fract_y
_atom_site_fract_z
_atom_site_occupancy
Ca1 Ca 0.0258 0.2500 0.1557 1
In1 In 0.1194 0.7500 0.3447 1
Ag1 Ag 0.1854 0.0535 0.5695 1
```


[3]
A geometry-optimized GeHN structure, computed with GGA-PBE.

## Properties
**Magnetization**: 0.0 μB/cell
**Raw total energy**: -32.8 eV/cell
**ρ**: 3.8 g/cm³

CIF file:
```
data_GeHN
_cell_length_a 5.3613
_cell_length_b 3.0909
_cell_length_c 4.6457
_cell_angle_alpha 90.00
_cell_angle_beta 94.52
_cell_angle_gamma 90.00
_symmetry_space_group_name_H-M 'C 1 m 1'
_symmetry_Int_Tables_number 8
loop_
_symmetry_equiv_pos_as_xyz
'x,y,z'
'x,-y,z'
'x+1/2,y+1/2,z'
'x+1/2,-y+1/2,z'
loop_
_atom_site_label
_atom_site_type_symbol
_atom_site_fract_x
_atom_site_fract_y
_atom_site_fract_z
_atom_site_occupancy
Ge1 Ge 0.0000 0.0000 0.0000 1
H1 H 0.3634 0.0000 0.4299 1
N1 N 0.3472 0.0000 0.2070 1
```


[4]
A geometry-optimized ErCuF4 structure, computed with GGA-PBE.

## Properties
**Magnetization**: 0.0 μB/cell
**Raw total energy**: -68.2 eV/cell
**ρ**: 6.0 g/cm³
**Formation energy from raw total energies**: -2.989 eV/atom

CIF file:
```
data_ErCuF4
_cell_length_a 6.6158
_cell_length_b 3.8367
_cell_length_c 6.9206
_cell_angle_alpha 90.00
_cell_angle_beta 104.57
_cell_angle_gamma 90.00
_symmetry_space_group_name_H-M 'P 1 21/c 1'
_symmetry_Int_Tables_number 14
loop_
_symmetry_equiv_pos_as_xyz
'x,y,z'
'-x,-y,-z'
'-x,y+1/2,-z+1/2'
'x,-y+1/2,z+1/2'
loop_
_atom_site_label
_atom_site_type_symbol
_atom_site_fract_x
_atom_site_fract_y
_atom_site_fract_z
_atom_site_occupancy
Er1 Er 0.0000 0.0000 0.0000 1
Cu1 Cu 0.5000 0.0000 0.5000 1
F1 F 0.0725 0.0199 0.6848 1
F2 F 0.3324 0.6284 0.5554 1
```


[5]
A geometry-optimized LiNdScIn structure, computed with GGA-PBE.

## Properties
**Magnetization**: 0.0 μB/cell
**Energy relative to the elements**: -241 meV per atom
**Raw total energy**: -66.9 eV/cell
**ρ**: 5.1 g/cm³

CIF file:
```
data_LiNdScIn
_cell_length_a 7.3814
_cell_length_b 7.3814
_cell_length_c 7.3814
_cell_angle_alpha 90.00
_cell_angle_beta 90.00
_cell_angle_gamma 90.00
_symmetry_space_group_name_H-M 'F -4 3 m'
_symmetry_Int_Tables_number 216
_symmetry_space_group_name_Hall 'F -4 2 3'
loop_
_atom_site_label
_atom_site_type_symbol
_atom_site_fract_x
_atom_site_fract_y
_atom_site_fract_z
_atom_site_occupancy
Li1 Li 0.0000 0.0000 0.0000 1
Nd1 Nd 0.2500 0.2500 0.7500 1
Sc1 Sc 0.2500 0.2500 0.2500 1
In1 In 0.0000 0.0000 0.5000 1
```


[6]
A geometry-optimized Be2CrAuN structure, computed with GGA-PBE.

## Properties
**Magnetization**: 0.5 μB/cell
**Raw total energy**: -19.0 eV/cell
**ρ**: 5.5 g/cm³
**Formation energy from raw total energies**: 1.944 eV/atom

CIF file:
```
data_Be2CrAuN
_cell_length_a 4.1579
_cell_length_b 4.1579
_cell_length_c 4.9165
_cell_angle_alpha 90.00
_cell_angle_beta 90.00
_cell_angle_gamma 90.00
_symmetry_space_group_name_H-M 'P 4/m m m'
_symmetry_Int_Tables_number 123
_symmetry_space_group_name_Hall '-P 4 2'
loop_
_atom_site_label
_atom_site_type_symbol
_atom_site_fract_x
_atom_site_fract_y
_atom_site_fract_z
_atom_site_occupancy
Be1 Be 0.0000 0.5000 0.0000 1
Cr1 Cr 0.0000 0.0000 0.5000 1
Au1 Au 0.0000 0.0000 0.0000 1
N1 N 0.5000 0.5000 0.5000 1
```


[7]
A geometry-optimized Ba2TlP structure, computed with GGA-PBE.

## Properties
**Magnetization**: 0.0 μB/cell
**Energy relative to the elements**: -433 meV per atom
**Raw total energy**: -53.4 eV/cell
**ρ**: 6.1 g/cm³

CIF file:
```
data_Ba2TlP
_cell_length_a 8.2013
_cell_length_b 8.2013
_cell_length_c 8.2013
_cell_angle_alpha 90.00
_cell_angle_beta 90.00
_cell_angle_gamma 90.00
_symmetry_space_group_name_H-M 'F m -3 m'
_symmetry_Int_Tables_number 225
_symmetry_space_group_name_Hall '-F 4 2 3'
loop_
_atom_site_label
_atom_site_type_symbol
_atom_site_fract_x
_atom_site_fract_y
_atom_site_fract_z
_atom_site_occupancy
Ba1 Ba 0.2500 0.2500 0.2500 1
Tl1 Tl 0.0000 0.0000 0.0000 1
P1 P 0.0000 0.0000 0.5000 1
```


[8]
A geometry-optimized YCu4P2 structure, computed with GGA-PBE.

## Properties
**Magnetization**: 0.0 μB/cell
**Energy relative to the elements**: -546 meV per atom
**Raw total energy**: -75.0 eV/cell
**ρ**: 6.7 g/cm³

CIF file:
```
data_YCu4P2
_cell_length_a 7.2649
_cell_length_b 7.2649
_cell_length_c 3.7929
_cell_angle_alpha 90.00
_cell_angle_beta 90.00
_cell_angle_gamma 90.00
_symmetry_space_group_name_H-M 'P 42/m n m'
_symmetry_Int_Tables_number 136
_symmetry_space_group_name_Hall '-P 4n 2n'
loop_
_atom_site_label
_atom_site_type_symbol
_atom_site_fract_x
_atom_site_fract_y
_atom_site_fract_z
_atom_site_occupancy
Y1 Y 0.0000 0.0000 0.0000 1
Cu1 Cu 0.0841 0.3351 0.5000 1
P1 P 0.2132 0.7868 0.5000 1
```


[9]
A geometry-optimized LiTa2Al structure, computed with GGA-PBE.

## Properties
**Magnetization**: 0.0 μB/cell
**Energy relative to the elements**: 141 meV per atom
**Raw total energy**: -28.8 eV/cell
**ρ**: 10.0 g/cm³

CIF file:
```
data_LiTa2Al
_cell_length_a 2.8370
_cell_length_b 4.1237
_cell_length_c 5.6303
_cell_angle_alpha 90.00
_cell_angle_beta 90.00
_cell_angle_gamma 90.00
_symmetry_space_group_name_H-M 'P m m m'
_symmetry_Int_Tables_number 47
loop_
_symmetry_equiv_pos_as_xyz
'x,y,z'
'-x,-y,-z'
'-x,-y,z'
'x,y,-z'
'x,-y,-z'
'-x,y,z'
'-x,y,-z'
'x,-y,z'
loop_
_atom_site_label
_atom_site_type_symbol
_atom_site_fract_x
_atom_site_fract_y
_atom_site_fract_z
_atom_site_occupancy
Li1 Li 0.0000 0.0000 0.0000 1
Ta1 Ta 0.5000 0.5000 0.2497 1
Al1 Al 0.0000 0.0000 0.5000 1
```


[10]
A geometry-optimized ScSiN2 structure, computed with GGA-PBE.

## Properties
**Magnetization**: 0.0 μB/cell
**Raw total energy**: -89.3 eV/cell
**ρ**: 3.7 g/cm³
**Formation energy from raw total energies**: -0.339 eV/atom

CIF file:
```
data_ScSiN2
_cell_length_a 2.9664
_cell_length_b 2.9664
_cell_length_c 17.9573
_cell_angle_alpha 90.00
_cell_angle_beta 90.00
_cell_angle_gamma 120.00
_symmetry_space_group_name_H-M 'R -3 m'
_symmetry_Int_Tables_number 166
_symmetry_space_group_name_Hall '-R 3 2"'
loop_
_atom_site_label
_atom_site_type_symbol
_atom_site_fract_x
_atom_site_fract_y
_atom_site_fract_z
_atom_site_occupancy
Sc1 Sc 0.0000 0.0000 0.0000 1
Si1 Si 0.0000 0.0000 0.5000 1
N1 N 0.0000 0.0000 0.1149 1
```


[11]
A geometry-optimized Li2CaRe structure, computed with GGA-PBE.

## Properties
**Magnetization**: 0.0 μB/cell
**Energy relative to the elements**: 516 meV per atom
**Raw total energy**: -16.2 eV/cell
**ρ**: 5.4 g/cm³

CIF file:
```
data_Li2CaRe
_cell_length_a 2.6677
_cell_length_b 4.9502
_cell_length_c 5.5460
_cell_angle_alpha 90.00
_cell_angle_beta 92.07
_cell_angle_gamma 90.00
_symmetry_space_group_name_H-M 'P 1 2/m 1'
_symmetry_Int_Tables_number 10
loop_
_symmetry_equiv_pos_as_xyz
'x,y,z'
'-x,-y,-z'
'-x,y,-z'
'x,-y,z'
loop_
_atom_site_label
_atom_site_type_symbol
_atom_site_fract_x
_atom_site_fract_y
_atom_site_fract_z
_atom_site_occupancy
Li1 Li 0.1761 0.0000 0.1931 1
Ca1 Ca 0.0000 0.5000 0.5000 1
Re1 Re 0.5000 0.5000 0.0000 1
```


[12]
A geometry-optimized CoNi2HRh structure, computed with GGA-PBE.

## Properties
**Magnetization**: 3.5 μB/cell
**Raw total energy**: -29.1 eV/cell
**ρ**: 9.4 g/cm³

CIF file:
```
data_CoNi2HRh
_cell_length_a 3.6453
_cell_length_b 3.6453
_cell_length_c 3.7291
_cell_angle_alpha 90.00
_cell_angle_beta 90.00
_cell_angle_gamma 90.00
_symmetry_space_group_name_H-M 'P 4/m m m'
_symmetry_Int_Tables_number 123
_symmetry_space_group_name_Hall '-P 4 2'
loop_
_atom_site_label
_atom_site_type_symbol
_atom_site_fract_x
_atom_site_fract_y
_atom_site_fract_z
_atom_site_occupancy
Co1 Co 0.0000 0.0000 0.0000 1
Ni1 Ni 0.0000 0.5000 0.5000 1
H1 H 0.0000 0.0000 0.5000 1
Rh1 Rh 0.5000 0.5000 0.0000 1
```